# CdOsS2N PBE relaxed
# N(E_F) ... 5.10 states/eV/f.u.
# Magnetic moment ... 0.00 Bohr magnetons per cell
# E_tot ... -0.200 hartree per atom
# E above lowest polymorph ... 0.0000 eV/atom
# Raw formation energy ... 0.31 eV/atom
data_CdOsS2N
_symmetry_space_group_name_H-M 'P 4/m m m'
_symmetry_Int_Tables_number 123
_symmetry_space_group_name_Hall '-P 4 2'
_cell_length_a 4.904
_cell_length_b 4.904
_cell_length_c 3.690
_cell_angle_alpha 90.00
_cell_angle_beta 90.00
_cell_angle_gamma 90.00
loop_
_atom_site_label
_atom_site_type_symbol
_atom_site_fract_x
_atom_site_fract_y
_atom_site_fract_z
_atom_site_occupancy
Cd1 Cd 0.000 0.000 0.000 1
Os1 Os 0.500 0.500 0.500 1
S1 S 0.000 0.500 0.500 1
N1 N 0.500 0.500 0.000 1


# CdOsS2N PBE relaxed
# N(E_F) ... 5.92 states/eV/f.u.
# Magnetic moment ... 5.28 Bohr magnetons per cell
# E_tot ... -0.132 hartree per atom
# E above lowest polymorph ... 1.8398 eV/atom
# Raw formation energy ... 2.15 eV/atom
data_CdOsS2N
_symmetry_space_group_name_H-M 'P 4/m m m'
_symmetry_Int_Tables_number 123
_symmetry_space_group_name_Hall '-P 4 2'
_cell_length_a 5.022
_cell_length_b 5.022
_cell_length_c 4.025
_cell_angle_alpha 90.00
_cell_angle_beta 90.00
_cell_angle_gamma 90.00
loop_
_atom_site_label
_atom_site_type_symbol
_atom_site_fract_x
_atom_site_fract_y
_atom_site_fract_z
_atom_site_occupancy
Cd1 Cd 0.000 0.000 0.000 1
Os1 Os 0.500 0.500 0.500 1
S1 S 0.000 0.500 0.000 1
N1 N 0.000 0.000 0.500 1


# CdOsSN2 PBE relaxed
# N(E_F) ... 2.59 states/eV/f.u.
# Magnetic moment ... 0.11 Bohr magnetons per cell
# E_tot ... -0.225 hartree per atom
# E above lowest polymorph ... 0.0000 eV/atom
# Raw formation energy ... 0.46 eV/atom
data_CdOsSN2
_symmetry_space_group_name_H-M 'P 4/m m m'
_symmetry_Int_Tables_number 123
_symmetry_space_group_name_Hall '-P 4 2'
_cell_length_a 3.808
_cell_length_b 3.808
_cell_length_c 5.306
_cell_angle_alpha 90.00
_cell_angle_beta 90.00
_cell_angle_gamma 90.00
loop_
_atom_site_label
_atom_site_type_symbol
_atom_site_fract_x
_atom_site_fract_y
_atom_site_fract_z
_atom_site_occupancy
Cd1 Cd 0.000 0.000 0.000 1
Os1 Os 0.500 0.500 0.500 1
S1 S 0.500 0.500 0.000 1
N1 N 0.000 0.500 0.500 1


# CdOsSN2 PBE relaxed
# N(E_F) ... 4.50 states/eV/f.u.
# Magnetic moment ... 6.42 Bohr magnetons per cell
# E_tot ... -0.145 hartree per atom
# E above lowest polymorph ... 2.1726 eV/atom
# Raw formation energy ... 2.64 eV/atom
data_CdOsSN2
_symmetry_space_group_name_H-M 'P 4/m m m'
_symmetry_Int_Tables_number 123
_symmetry_space_group_name_Hall '-P 4 2'
_cell_length_a 4.007
_cell_length_b 4.007
_cell_length_c 5.771
_cell_angle_alpha 90.00
_cell_angle_beta 90.00
_cell_angle_gamma 90.00
loop_
_atom_site_label
_atom_site_type_symbol
_atom_site_fract_x
_atom_site_fract_y
_atom_site_fract_z
_atom_site_occupancy
Cd1 Cd 0.000 0.000 0.000 1
Os1 Os 0.500 0.500 0.500 1
S1 S 0.000 0.000 0.500 1
N1 N 0.000 0.500 0.000 1


# CdOsSeN2 PBE relaxed
# N(E_F) ... 3.69 states/eV/f.u.
# Magnetic moment ... 6.74 Bohr magnetons per cell
# E_tot ... -0.144 hartree per atom
# E above lowest polymorph ... 2.0604 eV/atom
# Raw formation energy ... 2.54 eV/atom
data_CdOsSeN2
_symmetry_space_group_name_H-M 'P 4/m m m'
_symmetry_Int_Tables_number 123
_symmetry_space_group_name_Hall '-P 4 2'
_cell_length_a 4.071
_cell_length_b 4.071
_cell_length_c 6.082
_cell_angle_alpha 90.00
_cell_angle_beta 90.00
_cell_angle_gamma 90.00
loop_
_atom_site_label
_atom_site_type_symbol
_atom_site_fract_x
_atom_site_fract_y
_atom_site_fract_z
_atom_site_occupancy
Cd1 Cd 0.000 0.000 0.000 1
Os1 Os 0.500 0.500 0.500 1
Se1 Se 0.000 0.000 0.500 1
N1 N 0.000 0.500 0.000 1


# CdOsSeN2 PBE relaxed
# N(E_F) ... 2.75 states/eV/f.u.
# Magnetic moment ... 0.17 Bohr magnetons per cell
# E_tot ... -0.220 hartree per atom
# E above lowest polymorph ... 0.0000 eV/atom
# Raw formation energy ... 0.47 eV/atom
data_CdOsSeN2
_symmetry_space_group_name_H-M 'P 4/m m m'
_symmetry_Int_Tables_number 123
_symmetry_space_group_name_Hall '-P 4 2'
_cell_length_a 3.840
_cell_length_b 3.840
_cell_length_c 5.562
_cell_angle_alpha 90.00
_cell_angle_beta 90.00
_cell_angle_gamma 90.00
loop_
_atom_site_label
_atom_site_type_symbol
_atom_site_fract_x
_atom_site_fract_y
_atom_site_fract_z
_atom_site_occupancy
Cd1 Cd 0.000 0.000 0.000 1
Os1 Os 0.500 0.500 0.500 1
Se1 Se 0.500 0.500 0.000 1
N1 N 0.000 0.500 0.500 1


# Sr2CdOsN PBE relaxed
# N(E_F) ... 2.44 states/eV/f.u.
# Magnetic moment ... 0.00 Bohr magnetons per cell
# E_tot ... -0.187 hartree per atom
# Raw formation energy ... -0.33 eV/atom
data_Sr2CdOsN
_symmetry_space_group_name_H-M 'P 4/m m m'
_symmetry_Int_Tables_number 123
_symmetry_space_group_name_Hall '-P 4 2'
_cell_length_a 5.512
_cell_length_b 5.512
_cell_length_c 3.833
_cell_angle_alpha 90.00
_cell_angle_beta 90.00
_cell_angle_gamma 90.00
loop_
_atom_site_label
_atom_site_type_symbol
_atom_site_fract_x
_atom_site_fract_y
_atom_site_fract_z
_atom_site_occupancy
Sr1 Sr 0.000 0.500 0.000 1
Cd1 Cd 0.000 0.000 0.500 1
Os1 Os 0.500 0.500 0.500 1
N1 N 0.500 0.500 0.000 1


# CdPN PBE relaxed
# N(E_F) ... 0.46 states/eV/f.u.
# Magnetic moment ... 0.00 Bohr magnetons per cell
# E_tot ... -0.170 hartree per atom
# Raw formation energy ... 0.25 eV/atom
data_CdPN
_symmetry_space_group_name_H-M 'C 1 2/m 1'
_symmetry_Int_Tables_number 12
_symmetry_space_group_name_Hall '-C 2y'
_cell_length_a 20.292
_cell_length_b 2.861
_cell_length_c 4.063
_cell_angle_alpha 90.00
_cell_angle_beta 100.27
_cell_angle_gamma 90.00
loop_
_atom_site_label
_atom_site_type_symbol
_atom_site_fract_x
_atom_site_fract_y
_atom_site_fract_z
_atom_site_occupancy
Cd1 Cd 0.062 0.000 0.306 1
P1 P 0.193 0.000 0.931 1
N1 N 0.221 0.500 0.162 1


# CdP2N PBE relaxed
# N(E_F) ... 2.17 states/eV/f.u.
# Magnetic moment ... 0.00 Bohr magnetons per cell
# E_tot ... -0.127 hartree per atom
# E above lowest polymorph ... 0.9212 eV/atom
# Raw formation energy ... 1.57 eV/atom
data_CdP2N
_symmetry_space_group_name_H-M 'F m -3 m'
_symmetry_Int_Tables_number 225
_symmetry_space_group_name_Hall '-F 4 2 3'
_cell_length_a 6.223
_cell_length_b 6.223
_cell_length_c 6.223
_cell_angle_alpha 90.00
_cell_angle_beta 90.00
_cell_angle_gamma 90.00
loop_
_atom_site_label
_atom_site_type_symbol
_atom_site_fract_x
_atom_site_fract_y
_atom_site_fract_z
_atom_site_occupancy
Cd1 Cd 0.000 0.000 0.000 1
P1 P 0.250 0.250 0.250 1
N1 N 0.000 0.000 0.500 1


# CdP2N PBE relaxed
# N(E_F) ... 0.83 states/eV/f.u.
# Magnetic moment ... 0.00 Bohr magnetons per cell
# E_tot ... -0.161 hartree per atom
# E above lowest polymorph ... 0.0000 eV/atom
# Raw formation energy ... 0.65 eV/atom
data_CdP2N
_symmetry_space_group_name_H-M 'I -4 2 d'
_symmetry_Int_Tables_number 122
_symmetry_space_group_name_Hall 'I -4 2bw'
_cell_length_a 5.983
_cell_length_b 5.983
_cell_length_c 7.144
_cell_angle_alpha 90.00
_cell_angle_beta 90.00
_cell_angle_gamma 90.00
loop_
_atom_site_label
_atom_site_type_symbol
_atom_site_fract_x
_atom_site_fract_y
_atom_site_fract_z
_atom_site_occupancy
Cd1 Cd 0.000 0.000 0.000 1
P1 P 0.134 0.750 0.625 1
N1 N 0.000 0.000 0.500 1


# CdP3N PBE relaxed
# N(E_F) ... 4.56 states/eV/f.u.
# Magnetic moment ... 2.66 Bohr magnetons per cell
# E_tot ... -0.100 hartree per atom
# E above lowest polymorph ... 1.4395 eV/atom
# Raw formation energy ... 2.36 eV/atom
data_CdP3N
_symmetry_space_group_name_H-M 'P m -3 m'
_symmetry_Int_Tables_number 221
_symmetry_space_group_name_Hall '-P 4 2 3'
_cell_length_a 5.037
_cell_length_b 5.037
_cell_length_c 5.037
_cell_angle_alpha 90.00
_cell_angle_beta 90.00
_cell_angle_gamma 90.00
loop_
_atom_site_label
_atom_site_type_symbol
_atom_site_fract_x
_atom_site_fract_y
_atom_site_fract_z
_atom_site_occupancy
Cd1 Cd 0.000 0.000 0.000 1
P1 P 0.000 0.000 0.500 1
N1 N 0.500 0.500 0.500 1


# CdPN2 PBE relaxed
# N(E_F) ... 1.51 states/eV/f.u.
# Magnetic moment ... 0.00 Bohr magnetons per cell
# E_tot ... -0.204 hartree per atom
# E above lowest polymorph ... 0.0747 eV/atom
# Raw formation energy ... 0.19 eV/atom
data_CdPN2
_symmetry_space_group_name_H-M 'R -3 m'
_symmetry_Int_Tables_number 166
_symmetry_space_group_name_Hall '-R 3 2"'
_cell_length_a 2.7834
_cell_length_b 2.7834
_cell_length_c 20.1355
_cell_angle_alpha 90.00
_cell_angle_beta 90.00
_cell_angle_gamma 120.00
loop_
_atom_site_label
_atom_site_type_symbol
_atom_site_fract_x
_atom_site_fract_y
_atom_site_fract_z
_atom_site_occupancy
Cd1 Cd 0.0000 0.0000 0.0000 1
P1 P 0.0000 0.0000 0.5000 1
N1 N 0.0000 0.0000 0.1210 1